Entry 1:
## HfCr2N2 (GGA-PBE)

Data for crystalline HfCr2N2 at its relaxed geometry.

Computed properties:
Formation energy from raw total energies, eV per atom: -0.187
Total energy, eV/cell: -46.785
Volume, Å³/f.u.: 52.82

The structure in POSCAR format:
```
HfCr2N2
1.0
-1.617 1.617 5.051
1.617 -1.617 5.051
1.617 1.617 -5.051
Hf Cr N
1 2 2
Cartesian
0.000 0.000 0.000
1.617 0.000 2.526
0.000 1.617 2.526
0.000 0.000 3.762
0.000 0.000 6.341
```


Entry 2:
## PrSm2IrO8 (GGA-PBE)

Data for crystalline PrSm2IrO8 at its relaxed geometry.

Computed properties:
Formation energy from raw total energies, eV per atom: -2.251
Total energy, eV/cell: -89.757
Volume, Å³/f.u.: 187.30

The structure in POSCAR format:
```
PrSm2IrO8
1.0
3.646 -3.663 0.000
3.646 3.663 0.000
0.000 0.000 7.012
Pr Sm Ir O
1 2 1 8
Cartesian
0.000 0.000 0.000
3.646 0.000 1.761
3.646 0.000 5.251
0.000 0.000 3.506
1.329 0.000 2.090
1.329 0.000 4.922
3.646 1.757 3.506
3.646 1.364 0.000
3.646 -1.364 0.000
3.646 -1.757 3.506
5.963 0.000 2.090
5.963 0.000 4.922
```


Entry 3:
## ZrAlRe2 (GGA-PBE)

Data for crystalline ZrAlRe2 at its relaxed geometry.

Computed properties:
Total energy, eV/cell: -37.089
Volume, Å³/f.u.: 66.21

The structure in POSCAR format:
```
ZrAlRe2
1.0
-2.006 2.006 4.113
2.006 -2.006 4.113
2.006 2.006 -4.113
Zr Al Re
1 1 2
Cartesian
0.000 0.000 0.000
2.006 0.000 2.056
0.000 0.000 4.113
0.000 2.006 2.056
```


Entry 4:
## Cd2CuGe2 (GGA-PBE)

Data for crystalline Cd2CuGe2 at its relaxed geometry.

Computed properties:
Total energy, eV/cell: -28.745
Volume, Å³/f.u.: 100.48

The structure in POSCAR format:
```
Cd2CuGe2
1.0
6.356 0.000 0.000
0.000 6.356 0.000
0.000 0.000 4.974
Cd Cu Ge
4 2 4
Cartesian
1.145 2.033 0.000
2.033 5.211 0.000
4.323 1.145 0.000
5.211 4.323 0.000
0.000 0.000 2.487
3.178 3.178 2.487
0.921 4.099 2.487
2.257 0.921 2.487
4.099 5.436 2.487
5.436 2.257 2.487
```


Entry 5:
## KTe2Cl (GGA-PBE)

Data for crystalline KTe2Cl at its relaxed geometry.

Computed properties:
Formation energy from raw total energies, eV per atom: -0.821
Total energy, eV/cell: -12.511
Volume, Å³/f.u.: 156.83

The structure in POSCAR format:
```
KTe2Cl
1.0
4.288 0.000 0.000
0.000 4.288 0.000
0.000 0.000 8.528
K Te Cl
1 2 1
Cartesian
0.000 0.000 0.000
0.000 2.144 4.264
2.144 0.000 4.264
2.144 2.144 0.000
```


Entry 6:
## Tl2Si2Te5 (GGA-PBE)

Data for crystalline Tl2Si2Te5 at its relaxed geometry.

Computed properties:
Formation energy from raw total energies, eV per atom: 0.008
Total energy, eV/cell: -31.211
Volume, Å³/f.u.: 313.28

The structure in POSCAR format:
```
Tl2Si2Te5
1.0
6.856 -2.703 0.000
6.856 2.703 0.000
-2.052 0.000 8.452
Tl Si Te
2 2 5
Cartesian
0.616 0.000 2.991
11.045 0.000 5.461
4.275 0.000 1.024
7.385 0.000 7.428
0.019 0.000 8.012
3.896 0.000 3.495
6.856 0.000 0.000
7.765 0.000 4.957
11.642 0.000 0.440
```


Entry 7:
## HgOsI2 (GGA-PBE)

Data for crystalline HgOsI2 at its relaxed geometry.

Computed properties:
Formation energy from raw total energies, eV per atom: 0.652
Total energy, eV/cell: -24.047
Volume, Å³/f.u.: 131.69

The structure in POSCAR format:
```
HgOsI2
1.0
-4.116 4.116 3.887
4.116 -4.116 3.887
4.116 4.116 -3.887
Hg Os I
2 2 4
Cartesian
0.000 0.000 0.000
0.000 4.116 1.943
4.116 0.000 1.943
0.000 0.000 3.887
2.058 -1.207 2.915
2.909 2.058 0.972
2.058 5.323 -0.972
1.207 2.058 4.859
```


Entry 8:
## Si2GeSbP (GGA-PBE)

Data for crystalline Si2GeSbP at its relaxed geometry.

Computed properties:
Formation energy from raw total energies, eV per atom: 0.629
Total energy, eV/cell: -21.849
Volume, Å³/f.u.: 104.37

The structure in POSCAR format:
```
Si2GeSbP
1.0
4.667 0.000 0.000
0.000 4.667 0.000
0.000 0.000 4.792
Si Ge Sb P
2 1 1 1
Cartesian
0.000 2.333 0.000
2.333 0.000 0.000
0.000 0.000 2.396
2.333 2.333 2.396
0.000 0.000 0.000
```


Entry 9:
## CaHgRh (GGA-PBE)

Data for crystalline CaHgRh at its relaxed geometry.

Computed properties:
Total energy, eV/cell: -21.504
Volume, Å³/f.u.: 68.09

The structure in POSCAR format:
```
CaHgRh
1.0
5.192 -2.202 0.000
5.192 2.202 0.000
-4.278 0.000 5.957
Ca Hg Rh
2 2 2
Cartesian
-0.666 0.000 1.947
6.771 0.000 4.010
-0.534 0.000 5.395
6.640 0.000 0.562
2.376 0.000 1.929
3.730 0.000 4.028
```


Entry 10:
## K9AgO3 (GGA-PBE)

Data for crystalline K9AgO3 at its relaxed geometry.

Computed properties:
Formation energy from raw total energies, eV per atom: -0.652
Total energy, eV/cell: -36.083
Volume, Å³/f.u.: 473.79

The structure in POSCAR format:
```
K9AgO3
1.0
10.068 0.000 0.000
-5.034 8.719 0.000
0.000 0.000 5.397
K Ag O
9 1 3
Cartesian
-2.517 4.360 0.000
0.000 3.523 2.698
-1.983 6.958 2.698
3.051 1.762 2.698
5.034 0.000 0.000
2.517 4.360 0.000
1.983 6.958 2.698
7.017 1.762 2.698
5.034 5.196 2.698
0.000 0.000 0.000
-2.517 4.360 2.698
5.034 0.000 2.698
2.517 4.360 2.698
```


Entry 11:
## YMg2Sc4 (GGA-PBE)

Data for crystalline YMg2Sc4 at its relaxed geometry.

Computed properties:
Total energy, eV/cell: -34.713
Volume, Å³/f.u.: 176.91

The structure in POSCAR format:
```
YMg2Sc4
1.0
2.431 -11.219 0.000
2.431 11.219 0.000
0.000 0.000 3.243
Y Mg Sc
1 2 4
Cartesian
0.000 0.000 0.000
2.431 4.795 1.622
2.431 -4.795 1.622
2.431 7.849 0.000
2.431 1.701 1.622
2.431 -1.701 1.622
2.431 -7.849 0.000
```


Entry 12:
## Pr4Nd3Th (GGA-PBE)

Data for crystalline Pr4Nd3Th at its relaxed geometry.

Computed properties:
Total energy, eV/cell: -39.610
Volume, Å³/f.u.: 285.50

The structure in POSCAR format:
```
Pr4Nd3Th
1.0
12.015 -1.767 0.000
12.015 1.767 0.000
-2.056 0.000 6.722
Pr Nd Th
4 3 1
Cartesian
2.186 0.000 2.417
4.622 0.000 5.102
17.353 0.000 1.620
19.788 0.000 4.305
-1.028 0.000 3.361
1.108 0.000 5.947
20.867 0.000 0.775
12.015 0.000 0.000
```


Entry 13:
## Fe2SiGe2 (GGA-PBE)

Data for crystalline Fe2SiGe2 at its relaxed geometry.

Computed properties:
Formation energy from raw total energies, eV per atom: 0.146
Total energy, eV/cell: -61.707
Volume, Å³/f.u.: 65.50

The structure in POSCAR format:
```
Fe2SiGe2
1.0
6.734 0.000 0.000
0.000 6.734 0.000
0.000 0.000 2.889
Fe Si Ge
4 2 4
Cartesian
1.012 2.355 0.000
2.355 5.722 0.000
4.379 1.012 0.000
5.722 4.379 0.000
0.000 0.000 0.000
3.367 3.367 0.000
1.001 4.368 1.444
2.366 1.001 1.444
4.368 5.733 1.444
5.733 2.366 1.444
```


Entry 14:
## AsP2Cl (GGA-PBE)

Data for crystalline AsP2Cl at its relaxed geometry.

Computed properties:
Formation energy from raw total energies, eV per atom: 0.003
Total energy, eV/cell: -17.305
Volume, Å³/f.u.: 132.51

The structure in POSCAR format:
```
AsP2Cl
1.0
5.812 -1.655 0.000
5.812 1.655 0.000
-1.536 0.000 6.887
As P Cl
1 2 1
Cartesian
0.000 0.000 0.000
6.006 0.000 2.209
10.303 0.000 1.861
3.134 0.000 5.365
```


Entry 15:
## Ti4Zn2Ga (GGA-PBE)

Data for crystalline Ti4Zn2Ga at its relaxed geometry.

Computed properties:
Total energy, eV/cell: -36.824
Volume, Å³/f.u.: 115.51

The structure in POSCAR format:
```
Ti4Zn2Ga
1.0
2.672 -4.781 0.000
2.672 4.781 0.000
0.000 0.000 4.521
Ti Zn Ga
4 2 1
Cartesian
2.672 3.330 0.000
2.672 2.035 2.261
2.672 -2.035 2.261
2.672 -3.330 0.000
1.143 0.000 2.261
4.201 0.000 2.261
2.672 0.000 0.000
```


Entry 16:
## Tm4NiSn2 (GGA-PBE)

Data for crystalline Tm4NiSn2 at its relaxed geometry.

Computed properties:
Total energy, eV/cell: -70.607
Volume, Å³/f.u.: 178.84

The structure in POSCAR format:
```
Tm4NiSn2
1.0
6.408 0.000 0.000
0.000 6.521 0.000
-1.186 0.000 8.559
Tm Ni Sn
8 2 4
Cartesian
0.597 0.018 2.523
0.597 3.243 2.523
0.971 1.630 8.184
1.377 4.891 5.666
3.845 1.630 2.893
4.250 4.891 0.375
4.625 3.278 6.036
4.625 6.503 6.036
-0.369 1.630 4.547
5.591 4.891 4.012
-0.098 4.891 8.349
1.977 1.630 5.343
3.245 4.891 3.216
5.320 1.630 0.211
```


Entry 17:
## Cs2KBaH (GGA-PBE)

Data for crystalline Cs2KBaH at its relaxed geometry.

Computed properties:
Total energy, eV/cell: -8.001
Volume, Å³/f.u.: 315.44

The structure in POSCAR format:
```
Cs2KBaH
1.0
7.637 0.000 0.000
0.000 7.637 0.000
0.000 0.000 5.408
Cs K Ba H
2 1 1 1
Cartesian
0.000 3.819 0.000
3.819 0.000 0.000
0.000 0.000 2.704
3.819 3.819 2.704
3.819 3.819 0.000
```


Entry 18:
## Na2CaBe (GGA-PBE)

Data for crystalline Na2CaBe at its relaxed geometry.

Computed properties:
Total energy, eV/cell: -12.705
Volume, Å³/f.u.: 113.90

The structure in POSCAR format:
```
Na2CaBe
1.0
-2.194 2.194 11.836
2.194 -2.194 11.836
2.194 2.194 -11.836
Na Ca Be
4 2 2
Cartesian
3.290 0.953 -2.959
0.953 1.097 2.959
-1.097 1.240 8.877
1.240 1.097 14.795
2.194 0.000 5.918
0.000 0.000 11.836
0.000 0.000 0.000
0.000 2.194 5.918
```


Entry 19:
## TbNiHgAu (GGA-PBE)

Data for crystalline TbNiHgAu at its relaxed geometry.

Computed properties:
Total energy, eV/cell: -15.379
Volume, Å³/f.u.: 78.70

The structure in POSCAR format:
```
TbNiHgAu
1.0
0.000 3.401 3.401
3.401 0.000 3.401
3.401 3.401 0.000
Tb Ni Hg Au
1 1 1 1
Cartesian
0.000 0.000 0.000
1.701 1.701 1.701
3.401 3.401 3.401
5.102 5.102 5.102
```


Entry 20:
## Pa3FeSb2 (GGA-PBE)

Data for crystalline Pa3FeSb2 at its relaxed geometry.

Computed properties:
Formation energy from raw total energies, eV per atom: -0.356
Total energy, eV/cell: -189.329
Volume, Å³/f.u.: 142.23

The structure in POSCAR format:
```
Pa3FeSb2
1.0
12.697 0.000 0.000
0.000 3.913 0.000
0.000 0.000 11.450
Pa Fe Sb
12 4 8
Cartesian
0.732 0.978 1.237
1.651 2.935 6.113
3.072 2.935 2.794
3.277 0.978 8.519
4.697 0.978 0.388
5.617 2.935 6.961
7.080 0.978 4.488
8.000 2.935 11.062
9.420 2.935 2.931
9.625 0.978 8.656
11.045 0.978 5.337
11.965 2.935 10.213
1.596 0.978 4.065
4.753 2.935 9.790
7.944 0.978 1.660
11.101 2.935 7.385
0.104 0.978 7.985
2.397 2.935 10.968
3.952 0.978 5.243
6.245 2.935 2.261
6.452 0.978 9.189
8.745 2.935 6.206
10.300 0.978 0.481
12.593 2.935 3.464
```


Entry 21:
## Pm4TeIrSe2 (GGA-PBE)

Data for crystalline Pm4TeIrSe2 at its relaxed geometry.

Computed properties:
Formation energy from raw total energies, eV per atom: -1.408
Total energy, eV/cell: -49.238
Volume, Å³/f.u.: 223.50

The structure in POSCAR format:
```
Pm4TeIrSe2
1.0
7.445 0.000 0.000
0.000 4.200 0.000
-2.412 0.000 7.148
Pm Te Ir Se
4 1 1 2
Cartesian
1.194 0.000 1.576
0.014 2.100 5.532
5.019 2.100 1.616
3.838 0.000 5.572
-1.206 0.000 3.574
0.000 2.100 0.000
3.722 0.000 0.000
2.516 2.100 3.574
```


Entry 22:
## Zn6Cu2Au (GGA-PBE)

Data for crystalline Zn6Cu2Au at its relaxed geometry.

Computed properties:
Total energy, eV/cell: -19.093
Volume, Å³/f.u.: 154.41

The structure in POSCAR format:
```
Zn6Cu2Au
1.0
6.632 -3.026 0.000
6.632 3.026 0.000
-1.226 0.000 3.847
Zn Cu Au
6 2 1
Cartesian
3.949 1.538 1.258
6.632 1.699 0.000
8.090 1.538 2.588
3.949 -1.538 1.258
6.632 -1.699 0.000
8.090 -1.538 2.588
2.041 0.000 0.658
9.998 0.000 3.189
6.019 0.000 1.923
```


Entry 23:
## CsDyPbO3 (GGA-PBE)

Data for crystalline CsDyPbO3 at its relaxed geometry.

Computed properties:
Formation energy from raw total energies, eV per atom: -2.167
Total energy, eV/cell: -74.081
Volume, Å³/f.u.: 137.00

The structure in POSCAR format:
```
CsDyPbO3
1.0
7.505 0.000 0.000
0.000 3.570 0.000
-0.930 0.000 10.226
Cs Dy Pb O
2 2 2 6
Cartesian
0.735 0.892 1.919
5.841 2.677 8.308
2.275 0.892 8.881
4.301 2.677 1.346
1.525 2.677 6.017
5.051 0.892 4.210
0.624 0.892 7.171
1.589 2.677 10.170
3.042 2.677 7.592
3.534 0.892 2.635
4.987 0.892 0.057
5.952 2.677 3.055
```